1.
! Pr6Sm3YHo2 | Alexandria | PBE-GGA | relaxed; values from VASP
&SYSTEM
  ibrav = 0, nat = 12, ntyp = 4
/
ATOMIC_SPECIES
Pr 140.91 Pr.upf
Sm 150.36 Sm.upf
Y 88.91 Y.upf
Ho 164.93 Ho.upf
ATOMIC_POSITIONS angstrom
Pr -0.005 1.837 8.888
Pr 1.057 0.000 2.923
Pr -0.005 -1.837 8.888
Pr 4.238 1.837 2.921
Pr 3.176 0.000 8.886
Pr 4.238 -1.837 2.921
Sm -1.055 0.000 5.905
Sm 2.117 1.833 5.905
Sm 2.117 -1.833 5.905
Y 3.172 0.000 0.000
Ho 3.172 3.665 0.000
Ho 3.172 -3.665 0.000
CELL_PARAMETERS angstrom
3.172 -5.496 0.000
3.172 5.496 0.000
-2.111 0.000 11.809
! Size of the total moment ... 0.00 μB per formula unit
! E_tot ... -4.86 eV per atom
! Mass density ... 6.92 g/cm³
! Calculated formation energy ... 0.011 eV/atom

***

2.
! LaMg2CdAg2 | Alexandria | PBE-GGA | relaxed; values from VASP
&SYSTEM
  ibrav = 0, nat = 6, ntyp = 4
/
ATOMIC_SPECIES
La 138.91 La.upf
Mg 24.30 Mg.upf
Cd 112.41 Cd.upf
Ag 107.87 Ag.upf
ATOMIC_POSITIONS angstrom
La 0.000 0.000 0.000
Mg 2.567 2.567 1.530
Mg 2.567 2.567 4.673
Cd 0.000 0.000 3.102
Ag 0.000 2.567 3.102
Ag 2.567 0.000 3.102
CELL_PARAMETERS angstrom
5.133 0.000 0.000
0.000 5.133 0.000
0.000 0.000 6.203
! Size of the total moment ... 0.01 μB per formula unit
! E_tot ... -2.36 eV per atom
! Mass density ... 5.24 g/cm³
! Calculated formation energy ... 0.097 eV/atom

***

3.
! Mg3Cd2Ag2 | Alexandria | PBE-GGA | relaxed; values from VASP
&SYSTEM
  ibrav = 0, nat = 14, ntyp = 3
/
ATOMIC_SPECIES
Mg 24.30 Mg.upf
Cd 112.41 Cd.upf
Ag 107.87 Ag.upf
ATOMIC_POSITIONS angstrom
Mg 0.000 0.000 0.000
Mg -0.491 2.275 4.826
Mg 3.230 0.000 1.971
Mg 4.503 2.275 0.000
Mg 4.012 0.000 4.826
Mg 7.733 2.275 1.971
Cd 1.591 2.275 1.052
Cd 1.148 0.000 5.745
Cd 6.094 0.000 1.052
Cd 5.651 2.275 5.745
Ag 0.464 0.000 2.886
Ag 2.275 2.275 3.911
Ag 4.967 2.275 2.886
Ag 6.778 0.000 3.911
CELL_PARAMETERS angstrom
9.006 0.000 0.000
0.000 4.549 0.000
-1.764 0.000 6.797
! Size of the total moment ... 0.00 μB per formula unit
! E_tot ... -1.89 eV per atom
! Polymorph energy (0 for the lowest one) ... 0.000 eV/f.u.
! Mass density ... 6.12 g/cm³
! Calculated formation energy ... -0.127 eV/atom

***

4.
! LiTc2Pd | Alexandria | PBE-GGA | relaxed; values from VASP
&SYSTEM
  ibrav = 0, nat = 16, ntyp = 3
/
ATOMIC_SPECIES
Li 6.94 Li.upf
Tc 98.00 Tc.upf
Pd 106.42 Pd.upf
ATOMIC_POSITIONS angstrom
Li 0.000 0.000 0.000
Li 0.000 3.049 3.049
Li 3.049 0.000 3.049
Li 3.049 3.049 0.000
Tc 1.524 1.524 1.524
Tc 1.524 1.524 4.573
Tc 1.524 4.573 1.524
Tc 1.524 4.573 4.573
Tc 4.573 1.524 1.524
Tc 4.573 1.524 4.573
Tc 4.573 4.573 1.524
Tc 4.573 4.573 4.573
Pd 0.000 0.000 3.049
Pd 0.000 3.049 0.000
Pd 3.049 0.000 0.000
Pd 3.049 3.049 3.049
CELL_PARAMETERS angstrom
6.097 0.000 0.000
0.000 6.097 0.000
0.000 0.000 6.097
! Size of the total moment ... 0.00 μB per formula unit
! E_tot ... -6.38 eV per atom
! Polymorph energy (0 for the lowest one) ... 0.826 eV/f.u.
! Mass density ... 9.07 g/cm³
! Calculated formation energy ... 0.581 eV/atom

***

5.
! Sr2Cd2Sn | Alexandria | PBE-GGA | relaxed; values from VASP
&SYSTEM
  ibrav = 0, nat = 10, ntyp = 3
/
ATOMIC_SPECIES
Sr 87.62 Sr.upf
Cd 112.41 Cd.upf
Sn 118.71 Sn.upf
ATOMIC_POSITIONS angstrom
Sr 0.051 0.000 3.825
Sr 1.984 0.000 0.246
Sr 7.679 0.000 9.483
Sr 9.611 0.000 5.904
Cd 4.132 0.000 3.433
Cd 3.208 0.000 8.277
Cd 6.454 0.000 1.452
Cd 5.530 0.000 6.296
Sn 0.341 0.000 7.150
Sn 9.321 0.000 2.579
CELL_PARAMETERS angstrom
6.693 -2.454 0.000
6.693 2.454 0.000
-3.724 0.000 9.729
! Size of the total moment ... 0.00 μB per formula unit
! E_tot ... -2.26 eV per atom
! Mass density ... 5.39 g/cm³
! Calculated formation energy ... -0.421 eV/atom

***

6.
! TbZrGa2 | Alexandria | PBE-GGA | relaxed; values from VASP
&SYSTEM
  ibrav = 0, nat = 12, ntyp = 3
/
ATOMIC_SPECIES
Tb 158.93 Tb.upf
Zr 91.22 Zr.upf
Ga 69.72 Ga.upf
ATOMIC_POSITIONS angstrom
Tb 0.000 0.000 0.000
Tb 0.000 2.055 16.557
Tb 1.780 1.028 8.279
Zr 0.000 0.000 12.418
Zr 0.000 2.055 4.139
Zr 1.780 1.028 20.696
Ga 0.000 0.000 6.101
Ga 0.000 0.000 18.735
Ga 0.000 2.055 10.456
Ga 0.000 2.055 22.658
Ga 1.780 1.028 2.178
Ga 1.780 1.028 14.379
CELL_PARAMETERS angstrom
3.559 0.000 0.000
-1.780 3.083 0.000
0.000 0.000 24.836
! Size of the total moment ... 0.00 μB per formula unit
! E_tot ... -5.16 eV per atom
! Polymorph energy (0 for the lowest one) ... 0.645 eV/f.u.
! Mass density ... 7.12 g/cm³
! Calculated formation energy ... -0.350 eV/atom